The following is a DFT calculation (GGA-PBE) of an optimized crystal structure of Sc2MnPb.

The structure belongs to space group Imm2 (No. 44); the cell edges are 4.2309, 4.2423 and 9.4306 Å and the angles 90.00°, 90.00° and 90.00°. The distinct sites, in fractional coordinates, are Sc at (0.0000, 0.0000, 0.0000), Sc at (0.0000, 0.5000, 0.2498), Mn at (0.0000, 0.0000, 0.4999) and Pb at (0.0000, 0.5000, 0.7501).

The volume comes out at 169.3 Å³/cell. The formation energy is -0.084 eV/atom. The spin magnetization comes out at 0.56 μB per atom.